The following is a DFT calculation (PBE+U) of crystalline MnPO4 at its relaxed geometry.

The crystal system is trigonal. As for the uncorrected energy: -132.13 eV/cell.

abc: 5.1286 5.1286 11.7662
angles: 90.00 90.00 120.00
Space group P3_121 (No. 152)
Asymmetric unit:
Mn (0.0000, 0.4437, 0.1667) (multiplicity 3)
P (0.0000, 0.4350, 0.6667) (multiplicity 3)
O (0.1099, 0.6645, 0.7664) (multiplicity 6)
O (0.1329, 0.7373, 0.2917) (multiplicity 6)